DFT (PBE) results for a relaxed AgRuI2O crystal.

The uncorrected formation energy comes out at 0.93 eV/atom. Its crystal system is tetragonal. The total energy comes out at -15.54 eV/cell. As for the space-group type: No. 123.

Geometry as POSCAR:
```
AgRuI2O
1.0
5.7289 0.0000 0.0000
0.0000 5.7289 0.0000
0.0000 0.0000 3.9661
Ag Ru I O
1 1 2 1
Direct
0.0000 0.0000 0.0000
0.5000 0.5000 0.5000
0.0000 0.5000 0.0000
0.5000 0.0000 0.0000
0.0000 0.0000 0.5000
```



DFT (PBE) results for a relaxed CaCuP3 crystal.

For the formation energy, the calculation gives 1389 meV/atom. Its crystal system is cubic. The total energy comes out at -15.38 eV/cell. As for the space-group type: No. 221.

Geometry as POSCAR:
```
CaCuP3
1.0
5.1472 0.0000 0.0000
0.0000 5.1472 0.0000
0.0000 0.0000 5.1472
Ca Cu P
1 1 3
Direct
0.0000 0.0000 0.0000
0.5000 0.5000 0.5000
0.0000 0.0000 0.5000
0.0000 0.5000 0.0000
0.5000 0.0000 0.0000
```



DFT (PBE) results for a relaxed TeSe2 crystal.

The uncorrected formation energy comes out at 0.01 eV/atom. Its crystal system is triclinic. The total energy comes out at -20.17 eV/cell. As for the space-group type: No. 1.

Geometry as POSCAR:
```
TeSe2
1.0
4.4361 0.0000 0.0000
-0.0623 5.3362 0.0000
-0.2400 -0.0742 7.6992
Te Se
2 4
Direct
0.0000 0.0000 0.0000
0.4184 0.6515 0.1380
0.3886 0.3292 0.8791
0.6005 0.9830 0.5010
0.9275 0.6557 0.6141
0.9312 0.3164 0.3926
```



DFT (PBE) results for a relaxed BaAl2In2 crystal.

For the formation energy, the calculation gives -8 meV/atom. Its crystal system is tetragonal. The total energy comes out at -29.85 eV/cell. As for the space-group type: No. 127.

Geometry as POSCAR:
```
BaAl2In2
1.0
8.7634 0.0000 0.0000
0.0000 8.7634 0.0000
0.0000 0.0000 3.4754
Ba Al In
2 4 4
Direct
0.0000 0.0000 0.0000
0.5000 0.5000 0.0000
0.1576 0.3424 0.5000
0.3424 0.8424 0.5000
0.6576 0.1576 0.5000
0.8424 0.6576 0.5000
0.1307 0.6307 0.0000
0.3693 0.1307 0.0000
0.6307 0.8693 0.0000
0.8693 0.3693 0.0000
```



DFT (PBE) results for a relaxed YCuI2N crystal.

The uncorrected formation energy comes out at 0.22 eV/atom. Its crystal system is tetragonal. The total energy comes out at -20.90 eV/cell. As for the space-group type: No. 123.

Geometry as POSCAR:
```
YCuI2N
1.0
5.7586 0.0000 0.0000
0.0000 5.7586 0.0000
0.0000 0.0000 3.6754
Y Cu I N
1 1 2 1
Direct
0.0000 0.0000 0.0000
0.5000 0.5000 0.5000
0.0000 0.5000 0.5000
0.5000 0.0000 0.5000
0.5000 0.5000 0.0000
```



DFT (PBE) results for a relaxed Ce2Co3GeAs4 crystal.

For the formation energy, the calculation gives -610 meV/atom. Its crystal system is tetragonal. The total energy comes out at -62.50 eV/cell. As for the space-group type: No. 115.

Geometry as POSCAR:
```
Ce2Co3GeAs4
1.0
4.2987 0.0000 0.0000
0.0000 4.2987 0.0000
0.0000 0.0000 9.3029
Ce Co Ge As
2 3 1 4
Direct
0.0000 0.5000 0.2427
0.5000 0.0000 0.7573
0.0000 0.5000 0.8919
0.5000 0.0000 0.1081
0.5000 0.5000 0.5000
0.0000 0.0000 0.5000
0.0000 0.0000 0.0000
0.0000 0.5000 0.6459
0.5000 0.0000 0.3541
0.5000 0.5000 0.0000
```



DFT (PBE) results for a relaxed Ce5AlAu4 crystal.

For the formation energy, the calculation gives -516 meV/atom. Its crystal system is tetragonal. The total energy comes out at -51.68 eV/cell. As for the space-group type: No. 123.

Geometry as POSCAR:
```
Ce5AlAu4
1.0
3.6387 0.0000 0.0000
0.0000 3.6387 0.0000
0.0000 0.0000 18.9482
Ce Al Au
5 1 4
Direct
0.0000 0.0000 0.0000
0.0000 0.0000 0.2005
0.0000 0.0000 0.4001
0.0000 0.0000 0.5999
0.0000 0.0000 0.7995
0.5000 0.5000 0.5000
0.5000 0.5000 0.0997
0.5000 0.5000 0.3026
0.5000 0.5000 0.6974
0.5000 0.5000 0.9003
```



DFT (PBE) results for a relaxed CdIr2W crystal.

For the formation energy, the calculation gives 120 meV/atom. Its crystal system is tetragonal. The total energy comes out at -31.11 eV/cell. As for the space-group type: No. 139.

Geometry as POSCAR:
```
CdIr2W
1.0
-2.0463 2.0463 3.7969
2.0463 -2.0463 3.7969
2.0463 2.0463 -3.7969
Cd Ir W
1 2 1
Direct
0.0000 0.0000 0.0000
0.2500 0.7500 0.5000
0.7500 0.2500 0.5000
0.5000 0.5000 0.0000
```



DFT (PBE) results for a relaxed NaSrPb2F8 crystal.

The uncorrected formation energy comes out at -2.73 eV/atom. Its crystal system is orthorhombic. The total energy comes out at -58.11 eV/cell. As for the space-group type: No. 47.

Geometry as POSCAR:
```
NaSrPb2F8
1.0
4.1107 0.0000 0.0000
0.0000 5.7254 0.0000
0.0000 0.0000 8.2352
Na Sr Pb F
1 1 2 8
Direct
0.0000 0.0000 0.0000
0.0000 0.0000 0.5000
0.5000 0.5000 0.2378
0.5000 0.5000 0.7622
0.0000 0.2585 0.2505
0.0000 0.2585 0.7495
0.0000 0.7415 0.2505
0.0000 0.7415 0.7495
0.5000 0.2532 0.5000
0.5000 0.2600 0.0000
0.5000 0.7400 0.0000
0.5000 0.7468 0.5000
```



DFT (PBE) results for a relaxed KCo2Os crystal.

For the formation energy, the calculation gives 1633 meV/atom. Its crystal system is tetragonal. The total energy comes out at -20.01 eV/cell. As for the space-group type: No. 119.

Geometry as POSCAR:
```
KCo2Os
1.0
-1.8853 1.8853 4.5393
1.8853 -1.8853 4.5393
1.8853 1.8853 -4.5393
K Co Os
1 2 1
Direct
0.0000 0.0000 0.0000
0.5000 0.5000 0.0000
0.7500 0.2500 0.5000
0.2500 0.7500 0.5000
```



DFT (PBE) results for a relaxed Rb2NiSBr6 crystal.

The uncorrected formation energy comes out at -0.70 eV/atom. Its crystal system is tetragonal. The total energy comes out at -28.91 eV/cell. As for the space-group type: No. 139.

Geometry as POSCAR:
```
Rb2NiSBr6
1.0
-3.7700 3.7700 5.1517
3.7700 -3.7700 5.1517
3.7700 3.7700 -5.1517
Rb Ni S Br
2 1 1 6
Direct
0.2500 0.7500 0.5000
0.7500 0.2500 0.5000
0.0000 0.0000 0.0000
0.5000 0.5000 0.0000
0.2302 0.2302 0.4604
0.2302 0.7698 0.0000
0.2509 0.2509 0.0000
0.7491 0.7491 0.0000
0.7698 0.2302 0.0000
0.7698 0.7698 0.5396
```



DFT (PBE) results for a relaxed Nd5Sm3Y crystal.

For the formation energy, the calculation gives 474 meV/atom. Its crystal system is monoclinic. The total energy comes out at -80.40 eV/cell. As for the space-group type: No. 12.

Geometry as POSCAR:
```
Nd5Sm3Y
1.0
7.7286 -5.8886 0.0000
7.7286 5.8886 0.0000
-6.3446 0.0000 7.6665
Nd Sm Y
10 6 2
Direct
0.0991 0.6044 0.2638
0.2272 0.2272 0.2298
0.2472 0.7528 0.0000
0.2737 0.2737 0.9506
0.3956 0.9009 0.7362
0.6044 0.0991 0.2638
0.7263 0.7263 0.0494
0.7528 0.2472 0.0000
0.7728 0.7728 0.7702
0.9009 0.3956 0.7362
0.0000 0.0000 0.5000
0.0060 0.0060 0.8202
0.4865 0.4865 0.6496
0.5000 0.5000 0.0000
0.5135 0.5135 0.3504
0.9940 0.9940 0.1798
0.2515 0.2515 0.5916
0.7485 0.7485 0.4084
```